No. 1
Material: Nd3Tm2
Method: DFT, GGA-PBE
State: optimized geometry

Structure (POSCAR):
```
Nd3Tm2
1.0
-3.9539 -3.7190 3.1058
4.4261 -4.7401 -0.0413
2.7767 6.9807 5.5974
Nd Tm
6 4
Direct
0.9007 0.2983 0.8014 Nd
0.4007 0.5032 0.8014 Nd
0.7500 0.0000 0.0000 Nd
0.5993 0.4968 0.1986 Nd
0.0993 0.7017 0.1986 Nd
0.2500 0.0000 0.0000 Nd
0.1943 0.3253 0.3886 Tm
0.6943 0.0633 0.3886 Tm
0.3057 0.9367 0.6114 Tm
0.8057 0.6747 0.6114 Tm
```

Values from the calculation:
- SG: Ibam
- Formation enthalpy at 0 K: 14.9 kJ per mole of atoms

***

No. 2
Material: Na2MgSe2O6
Method: DFT, GGA-PBE
State: optimized geometry

Structure (POSCAR):
```
Na2MgSe2O6
1.0
-3.1142 4.6238 1.2524
1.0593 -3.7110 3.3017
5.5188 3.8625 -0.5371
Se Mg O Na
2 1 6 2
Direct
0.0873 0.1745 0.2436 Se
0.9127 0.8255 0.7564 Se
0.5000 0.0000 0.5000 Mg
0.7175 0.9163 0.2433 O
0.7509 0.5017 0.5171 O
0.2825 0.0837 0.7567 O
0.2491 0.4983 0.4829 O
0.1988 0.9163 0.2433 O
0.8012 0.0837 0.7567 O
0.3003 0.6006 0.8468 Na
0.6997 0.3994 0.1532 Na
```

Values from the calculation:
- SG: C2/m
- E_form (uncorrected): -16.023 eV per formula unit

***

No. 3
Material: LiGdGaPd
Method: DFT, GGA-PBE
State: optimized geometry

Structure (POSCAR):
```
LiGdGaPd
1.0
-0.5449 -3.1165 -3.4782
3.7627 -1.6660 -2.2747
1.3321 -4.4669 0.6157
Ga Gd Pd Li
1 1 1 1
Direct
0.0000 0.0000 0.0000 Ga
0.5000 0.5000 0.5000 Gd
0.7500 0.7500 0.7500 Pd
0.2500 0.2500 0.2500 Li
```

Values from the calculation:
- SG: F-43m
- Formation enthalpy at 0 K: -56.0 kJ per mole of atoms

***

No. 4
Material: NiBr3
Method: DFT, GGA-PBE
State: optimized geometry

Structure (POSCAR):
```
NiBr3
1.0
6.9230 0.0000 0.0000
0.0000 6.9230 0.0000
3.4615 3.4615 4.8605
Br Ni
6 2
Direct
0.3750 0.4880 0.7500 Br
0.8750 0.7620 0.7500 Br
0.2380 0.6250 0.2500 Br
0.7500 0.2500 0.5000 Br
0.5120 0.1250 0.2500 Br
0.0000 0.0000 0.0000 Br
0.5000 0.5000 0.0000 Ni
0.2500 0.7500 0.5000 Ni
```

Values from the calculation:
- SG: I-42d
- E_form (uncorrected): 0.396 eV per formula unit

***

No. 5
Material: LiTaOF2
Method: DFT, GGA-PBE
State: optimized geometry

Structure (POSCAR):
```
LiTaOF2
1.0
4.2947 0.0000 0.0000
0.0000 4.2947 0.0000
0.0000 0.0000 3.9548
Li Ta F O
1 1 2 1
Direct
0.5000 0.5000 0.5000 Li
0.0000 0.0000 0.0000 Ta
0.0000 0.5000 0.0000 F
0.5000 0.0000 0.0000 F
0.0000 0.0000 0.5000 O
```

Values from the calculation:
- Distance to the lowest polymorph of the same formula: 0.0000 eV/atom
- SG: P4/mmm
- E_form (uncorrected): -10.234 eV per formula unit

***

No. 6
Material: Nb2ReB
Method: DFT, GGA-PBE
State: optimized geometry

Structure (POSCAR):
```
Nb2ReB
1.0
7.5922 0.0000 0.0000
0.0000 7.5922 0.0000
3.7961 3.7961 2.2053
Nb B Re
4 2 2
Direct
0.3750 0.4881 0.7500 Nb
0.5119 0.1250 0.2500 Nb
0.8750 0.7619 0.7500 Nb
0.2381 0.6250 0.2500 Nb
0.5000 0.5000 0.0000 B
0.2500 0.7500 0.5000 B
0.7500 0.2500 0.5000 Re
0.0000 0.0000 0.0000 Re
```

Values from the calculation:
- SG: I-42d
- Formation enthalpy at 0 K: 25.7 kJ per mole of atoms

***

No. 7
Material: CaTlSbTe2
Method: DFT, GGA-PBE
State: optimized geometry

Structure (POSCAR):
```
CaTlSbTe2
1.0
5.7969 0.0000 0.0000
0.0000 5.8585 0.0000
0.0000 0.0000 5.7969
Sb Tl Ca Te
1 1 1 2
Direct
0.5000 0.5000 0.5000 Sb
0.0000 0.5000 0.0000 Tl
0.0000 0.0000 0.0000 Ca
0.5000 0.0000 0.0000 Te
0.0000 0.0000 0.5000 Te
```

Values from the calculation:
- Distance to the lowest polymorph of the same formula: 0.2330 eV/atom
- SG: P4/mmm
- E_form (uncorrected): 1.168 eV per formula unit

***

No. 8
Material: KRe3Os3Se8Cl6
Method: DFT, GGA-PBE
State: optimized geometry

Structure (POSCAR):
```
KRe3Os3Se8Cl6
1.0
-1.1004 8.8362 10.1243
-12.1347 -5.0690 3.1093
5.8669 -8.8919 8.3847
Cl Se Re Os K
24 32 12 12 4
Direct
0.7929 0.5875 0.5708 Cl
0.7944 0.9136 0.9239 Cl
0.5869 0.4287 0.2059 Cl
0.7068 0.9054 0.5669 Cl
0.4080 0.5696 0.7953 Cl
0.9124 0.0686 0.2042 Cl
0.5747 0.2946 0.9107 Cl
0.4132 0.9346 0.7054 Cl
0.9287 0.2928 0.5883 Cl
0.2034 0.4076 0.4310 Cl
0.4304 0.7060 0.0874 Cl
0.5926 0.0707 0.2938 Cl
0.0883 0.5658 0.7050 Cl
0.4264 0.7950 0.4113 Cl
0.0910 0.9283 0.7940 Cl
0.0721 0.7039 0.4108 Cl
0.9088 0.4302 0.2932 Cl
0.7069 0.5877 0.9245 Cl
0.5695 0.2062 0.5893 Cl
0.2962 0.4091 0.0706 Cl
0.2054 0.0927 0.0694 Cl
0.0711 0.7950 0.0869 Cl
0.9271 0.2063 0.9098 Cl
0.2962 0.0860 0.4287 Cl
0.6285 0.6328 0.3670 Se
0.0594 0.3119 0.1172 Se
0.8113 0.3856 0.0606 Se
0.3102 0.8870 0.9433 Se
0.8122 0.1146 0.4396 Se
0.8692 0.8676 0.3649 Se
0.6156 0.0609 0.8111 Se
0.6866 0.3854 0.4395 Se
0.3665 0.1349 0.8709 Se
0.6319 0.8680 0.1323 Se
0.3830 0.5592 0.3114 Se
0.1351 0.3660 0.8710 Se
0.3088 0.6163 0.5595 Se
0.9444 0.6896 0.8859 Se
0.6118 0.4432 0.6901 Se
0.3655 0.3692 0.6341 Se
0.9439 0.8102 0.6161 Se
0.8697 0.6330 0.1321 Se
0.1164 0.5586 0.1891 Se
0.4421 0.1890 0.1175 Se
0.1316 0.1316 0.6326 Se
0.1911 0.6139 0.9432 Se
0.5570 0.8111 0.8863 Se
0.4405 0.3116 0.3837 Se
0.3849 0.9425 0.1891 Se
0.1151 0.9412 0.3098 Se
0.5542 0.6897 0.6154 Se
0.8859 0.0574 0.6879 Se
0.6902 0.1152 0.0610 Se
0.0575 0.1882 0.3845 Se
0.8856 0.4401 0.8109 Se
0.1900 0.8841 0.5606 Se
0.1301 0.0375 0.4700 Re
0.6297 0.9621 0.9702 Re
0.4611 0.9724 0.8716 Re
0.0310 0.8697 0.4611 Re
0.5278 0.3714 0.5388 Re
0.9705 0.3703 0.9625 Re
0.8718 0.5388 0.9700 Re
0.6267 0.5391 0.5298 Re
0.3683 0.4615 0.4708 Re
0.0402 0.5284 0.8714 Re
0.5310 0.1307 0.9629 Re
0.8717 0.9598 0.5285 Re
0.0319 0.6290 0.0393 Os
0.9704 0.1281 0.5378 Os
0.3707 0.0399 0.0317 Os
0.4673 0.6297 0.4617 Os
0.4584 0.5311 0.6298 Os
0.5388 0.0299 0.1303 Os
0.1308 0.4611 0.0317 Os
0.0395 0.9699 0.6295 Os
0.9627 0.4710 0.1300 Os
0.9620 0.0295 0.3697 Os
0.5361 0.4711 0.3702 Os
0.4695 0.8720 0.0396 Os
0.5022 0.4996 0.9982 K
0.9983 0.4994 0.4998 K
0.5028 0.0003 0.5001 K
0.9998 0.0011 0.9973 K
```

Values from the calculation:
- SG: P1
- E_form (uncorrected): -13.646 eV per formula unit

***

| no. | total magnetization (μB/f.u.) | theoretical density (kg/m³) |
| --- | --- | --- |
| 1 | 0.0 | 7681 |
| 2 | 0.0 | 3561 |
| 3 | 7.8 | 7689 |
| 4 | 0.0 | 4254 |
| 5 | 1.7 | 5506 |
| 6 | 0.0 | 10002 |
| 7 | 0.0 | 5241 |
| 8 | 0.0 | 5413 |